This record from the Alexandria database describes a relaxed La2InSn3Pt4 crystal. The functional is PBE.

Properties
Calculated volume (A^3/atom): 23.1
ΔE_f (eV/atom): -0.888
Total energy (eV/cell): -57.6
Spin magnetization (μB/f.u.): 0.00

Cell lengths 4.635, 4.635, 10.762 Å; angles 90.00, 90.00, 90.00 degrees
Atoms (fractional coordinates):
1 La 0.000 0.500 0.243
2 La 0.500 0.000 0.757
3 In 0.000 0.000 0.500
4 Sn 0.000 0.500 0.874
5 Sn 0.500 0.000 0.126
6 Sn 0.500 0.500 0.500
7 Pt 0.000 0.000 0.000
8 Pt 0.000 0.500 0.633
9 Pt 0.500 0.000 0.367
10 Pt 0.500 0.500 0.000